# 1
Entry from Alexandria: a relaxed structure of InAg (PBE).

As for the formation energy: 444 meV/atom.

The structure belongs to space group Pm-3n (No. 223); the cell edges are 7.837, 7.837 and 7.837 Å and the angles 90.00°, 90.00° and 90.00°. The distinct sites, in fractional coordinates, are In at (0.000, 0.250, 0.500) and Ag at (0.000, 0.500, 0.250).


# 2
Entry from Alexandria: a relaxed structure of In3Ag (PBE).

As for the formation energy: 68 meV/atom.

The structure belongs to space group Pmm2 (No. 25); the cell edges are 3.305, 4.982 and 5.944 Å and the angles 90.00°, 90.00° and 90.00°. The distinct sites, in fractional coordinates, are In at (0.000, 0.000, 0.000), In at (0.000, 0.500, 0.338), In at (0.500, 0.500, 0.805) and Ag at (0.500, 0.000, 0.479).


# 3
Entry from Alexandria: a relaxed structure of In6Ag5 (PBE).

As for the formation energy: 28 meV/atom.

The structure belongs to space group C2/m (No. 12); the cell edges are 9.252, 10.758 and 5.183 Å and the angles 90.00°, 106.95° and 90.00°. The distinct sites, in fractional coordinates, are In at (0.199, 0.000, 0.197), In at (0.209, 0.155, 0.700), Ag at (0.000, 0.226, 0.000), Ag at (0.000, 0.365, 0.500) and Ag at (0.000, 0.500, 0.000).


What did the third record say?
Entry from Alexandria: a relaxed structure of In6Ag5 (PBE).

As for the formation energy: 28 meV/atom.

The structure belongs to space group C2/m (No. 12); the cell edges are 9.252, 10.758 and 5.183 Å and the angles 90.00°, 106.95° and 90.00°. The distinct sites, in fractional coordinates, are In at (0.199, 0.000, 0.197), In at (0.209, 0.155, 0.700), Ag at (0.000, 0.226, 0.000), Ag at (0.000, 0.365, 0.500) and Ag at (0.000, 0.500, 0.000).